(1)
A geometry-optimized Ac2BSb structure. Source: the Alexandria database, functional GGA-PBE.

abc: 5.3583 5.3583 4.0914
angles: 90.00 90.00 90.00
Closest atoms and distances in Å follow each position.
Fractional positions:
Ac  0.0000  0.5000  0.0000  4 Sb 3.37, 4 B 3.37
Ac  0.5000  0.0000  0.0000  4 Sb 3.37, 4 B 3.37
B  0.0000  0.0000  0.5000  8 Ac 3.37
Sb  0.5000  0.5000  0.5000  8 Ac 3.37

Calculated values
- density of states at the Fermi level (states/eV/atom) = 0.733
- formation energy without anion corrections (eV/f.u.) = 0.20
- ρ (g cm⁻³) = 8.29
- crystal system = tetragonal

***

(2)
A geometry-optimized TiCrCl2 structure. Source: the Alexandria database, functional GGA-PBE.

abc: 8.2760 8.2760 8.2760
angles: 149.44 149.44 43.77
Closest atoms and distances in Å follow each position.
Fractional positions:
Ti  0.0000  0.0000  0.0000  4 Cl 2.46
Ti  0.7500  0.2500  0.5000  4 Cl 2.46
Cr  0.2500  0.7500  0.5000  4 Cl 2.46
Cr  0.5000  0.5000  0.0000  4 Cl 2.46
Cl  0.1250  0.6250  0.0000  2 Cr 2.46, 2 Ti 2.46
Cl  0.3750  0.3750  0.5000  2 Cr 2.46, 2 Ti 2.46
Cl  0.6250  0.1250  0.0000  2 Cr 2.46, 2 Ti 2.46
Cl  0.8750  0.8750  0.5000  2 Cr 2.46, 2 Ti 2.46

Calculated values
- density of states at the Fermi level (states/eV/atom) = 0.742
- formation energy without anion corrections (eV/f.u.) = -0.87
- ρ (g cm⁻³) = 3.88
- crystal system = tetragonal

***

(3)
A geometry-optimized LaAl2Co structure. Source: the Alexandria database, functional GGA-PBE.

abc: 3.0589 3.0589 7.7025
angles: 90.00 90.00 90.00
Closest atoms and distances in Å follow each position.
Fractional positions:
La  0.0000  0.0000  0.0000  4 La 3.06, 8 Al 3.32
Al  0.5000  0.5000  0.3264  4 Co 2.54, 1 Al 2.67
Al  0.5000  0.5000  0.6736  4 Co 2.54, 1 Al 2.67
Co  0.0000  0.0000  0.5000  8 Al 2.54

Calculated values
- density of states at the Fermi level (states/eV/atom) = 0.855
- energy of formation from the pure elements (eV/atom) = -0.323
- ρ (g cm⁻³) = 5.80
- crystal system = tetragonal

***

(4)
A geometry-optimized La8Sm3Tm structure. Source: the Alexandria database, functional GGA-PBE.

abc: 8.6128 8.6128 8.6128
angles: 117.76 117.76 93.92
Closest atoms and distances in Å follow each position.
Fractional positions:
La  0.1271  0.1271  0.7547  3 La 3.09-3.38, 1 Sm 3.32, 1 Tm 3.32
La  0.2476  0.7477  0.0000  1 Sm 3.15, 1 Tm 3.15, 2 La 3.32-3.38
La  0.2523  0.2523  0.4999  1 Sm 3.15, 1 Tm 3.15, 2 La 3.32-3.38
La  0.3724  0.3724  0.2453  3 La 3.09-3.38, 1 Sm 3.32, 1 Tm 3.32
La  0.6276  0.8729  0.0000  3 La 3.09-3.38, 1 Sm 3.32, 1 Tm 3.32
La  0.7477  0.2476  0.0000  1 Sm 3.15, 1 Tm 3.15, 2 La 3.32-3.38
La  0.7524  0.7524  0.5001  1 Sm 3.15, 1 Tm 3.15, 2 La 3.32-3.38
La  0.8729  0.6276  0.0000  3 La 3.09-3.38, 1 Sm 3.32, 1 Tm 3.32
Sm  0.0000  0.0000  0.0000  8 La 3.15-3.32
Sm  0.2500  0.7500  0.5000  4 La 3.53
Sm  0.7500  0.2500  0.5000  4 La 3.53
Tm  0.5000  0.5000  0.0000  8 La 3.15-3.32

Calculated values
- density of states at the Fermi level (states/eV/atom) = 1.711
- energy of formation from the pure elements (eV/atom) = 0.503
- ρ (g cm⁻³) = 6.17
- crystal system = tetragonal

***

(5)
A geometry-optimized Be2TlS structure. Source: the Alexandria database, functional GGA-PBE.

abc: 6.0350 6.0350 6.0350
angles: 123.70 123.70 83.70
Closest atoms and distances in Å follow each position.
Fractional positions:
Be  0.0544  0.6250  0.9294  2 S 2.08
Be  0.3750  0.3044  0.4294  2 S 2.08
Be  0.6956  0.1250  0.0706  2 S 2.08
Be  0.8750  0.9456  0.5706  2 S 2.08
Tl  0.2500  0.7500  0.5000  4 Be 2.57
Tl  0.5000  0.5000  0.0000  4 Be 2.57
S  0.0000  0.0000  0.0000  4 Be 2.08
S  0.7500  0.2500  0.5000  4 Be 2.08

Calculated values
- density of states at the Fermi level (states/eV/atom) = 0.307
- formation energy without anion corrections (eV/f.u.) = 0.17
- ρ (g cm⁻³) = 5.80
- crystal system = tetragonal

***

(6)
A geometry-optimized MgSbOs2 structure. Source: the Alexandria database, functional GGA-PBE.

abc: 8.7378 8.7378 8.7378
angles: 20.06 20.06 20.06
Closest atoms and distances in Å follow each position.
Fractional positions:
Mg  0.0000  0.0000  0.0000  6 Os 2.85, 6 Mg 3.04
Sb  0.5000  0.5000  0.5000  6 Os 2.69
Os  0.2459  0.2459  0.2459  3 Sb 2.69, 3 Mg 2.85
Os  0.7541  0.7541  0.7541  3 Sb 2.69, 3 Mg 2.85

Calculated values
- density of states at the Fermi level (states/eV/atom) = 0.943
- formation energy without anion corrections (eV/f.u.) = 2.39
- ρ (g cm⁻³) = 12.73
- crystal system = trigonal

***

(7)
A geometry-optimized Ba2NaLiNi structure. Source: the Alexandria database, functional GGA-PBE.

abc: 6.0925 6.0925 5.1370
angles: 90.00 90.00 90.00
Closest atoms and distances in Å follow each position.
Fractional positions:
Ba  0.0000  0.5000  0.0000  2 Ni 3.05
Ba  0.5000  0.0000  0.0000  2 Ni 3.05
Na  0.0000  0.0000  0.5000  8 Ba 3.98, 4 Li 4.31
Li  0.5000  0.5000  0.5000  2 Ni 2.57
Ni  0.5000  0.5000  0.0000  2 Li 2.57

Calculated values
- density of states at the Fermi level (states/eV/atom) = 0.757
- energy of formation from the pure elements (eV/atom) = 0.085
- ρ (g cm⁻³) = 3.16
- crystal system = tetragonal

***

(8)
A geometry-optimized CePmDyN3 structure. Source: the Alexandria database, functional GGA-PBE.

abc: 6.0390 3.4532 9.3601
angles: 90.00 96.31 90.00
Closest atoms and distances in Å follow each position.
Fractional positions:
Ce  0.1838  0.2500  0.1331  5 N 2.31-2.51
Ce  0.8162  0.7500  0.8669  5 N 2.31-2.51
Pm  0.2881  0.2500  0.7711  6 N 2.53-2.63
Pm  0.7119  0.7500  0.2289  6 N 2.53-2.63
Dy  0.2394  0.7500  0.4487  6 N 2.42-2.52
Dy  0.7606  0.2500  0.5513  6 N 2.42-2.52
N  0.0205  0.7500  0.6508  3 Dy 2.42-2.45, 1 Ce 2.48, 2 Pm 2.54
N  0.2173  0.7500  0.9725  3 Ce 2.31-2.51
N  0.4722  0.2500  0.3371  1 Ce 2.44, 3 Dy 2.51-2.52, 2 Pm 2.53
N  0.5278  0.7500  0.6629  1 Ce 2.44, 3 Dy 2.51-2.52, 2 Pm 2.53
N  0.7827  0.2500  0.0275  3 Ce 2.31-2.51
N  0.9795  0.2500  0.3492  3 Dy 2.42-2.45, 1 Ce 2.48, 2 Pm 2.54

Calculated values
- density of states at the Fermi level (states/eV/atom) = 0.481
- formation energy without anion corrections (eV/f.u.) = -8.02
- ρ (g cm⁻³) = 8.38
- crystal system = monoclinic

***

(9)
A geometry-optimized Sn2Pd2Pb structure. Source: the Alexandria database, functional GGA-PBE.

abc: 6.8897 6.8897 6.8897
angles: 143.13 143.13 53.13
Closest atoms and distances in Å follow each position.
Fractional positions:
Sn  0.2500  0.7500  0.5000  4 Pd 2.75, 4 Sn 3.08
Sn  0.7500  0.2500  0.5000  4 Pd 2.75, 4 Sn 3.08
Pd  0.1132  0.1132  0.0000  4 Sn 2.75, 1 Pd 2.79
Pd  0.8868  0.8868  0.0000  4 Sn 2.75, 1 Pd 2.79
Pb  0.5000  0.5000  0.0000  8 Pd 3.38, 8 Sn 3.77

Calculated values
- density of states at the Fermi level (states/eV/atom) = 0.766
- energy of formation from the pure elements (eV/atom) = -0.191
- ρ (g cm⁻³) = 9.33
- crystal system = tetragonal

***

(10)
A geometry-optimized Sn8Sb4Te3 structure. Source: the Alexandria database, functional GGA-PBE.

abc: 8.8335 8.8335 8.8394
angles: 119.97 119.97 89.61
Closest atoms and distances in Å follow each position.
Fractional positions:
Sn  0.2457  0.7543  0.0000  3 Sb 3.06-3.13, 3 Te 3.14-3.17
Sn  0.2502  0.2502  0.4927  2 Sb 3.09, 3 Te 3.11-3.18
Sn  0.2523  0.2523  0.0134  4 Sb 3.06-3.11, 1 Te 3.19
Sn  0.2526  0.7474  0.5000  3 Sb 3.08-3.14, 2 Te 3.13
Sn  0.7474  0.2526  0.5000  3 Sb 3.08-3.14, 2 Te 3.13
Sn  0.7477  0.7477  0.9866  4 Sb 3.06-3.11, 1 Te 3.19
Sn  0.7498  0.7498  0.5073  2 Sb 3.09, 3 Te 3.11-3.18
Sn  0.7543  0.2457  0.0000  3 Sb 3.06-3.13, 3 Te 3.14-3.17
Sb  0.0000  0.0000  0.0000  6 Sn 3.06-3.09
Sb  0.0000  0.5000  0.0000  6 Sn 3.11-3.14
Sb  0.5000  0.0000  0.0000  6 Sn 3.11-3.14
Sb  0.5000  0.5000  0.5000  6 Sn 3.06-3.09
Te  0.0000  0.5000  0.5000  6 Sn 3.11-3.14
Te  0.5000  0.0000  0.5000  6 Sn 3.11-3.14
Te  0.5000  0.5000  0.0000  6 Sn 3.17-3.19

Calculated values
- density of states at the Fermi level (states/eV/atom) = 0.325
- formation energy without anion corrections (eV/f.u.) = -0.79
- ρ (g cm⁻³) = 6.17
- crystal system = monoclinic

***

(11)
A geometry-optimized Pr3Cd5Hg2 structure. Source: the Alexandria database, functional GGA-PBE.

abc: 9.1618 9.1618 6.5615
angles: 99.47 99.47 96.70
Closest atoms and distances in Å follow each position.
Fractional positions:
Pr  0.0246  0.9754  0.7500  4 Hg 3.17-3.21, 2 Cd 3.26, 2 Pr 3.35
Pr  0.1517  0.6235  0.9230  3 Hg 3.35-3.40, 7 Cd 3.38-3.72
Pr  0.3765  0.8483  0.5770  3 Hg 3.35-3.40, 7 Cd 3.38-3.72
Pr  0.6235  0.1517  0.4230  3 Hg 3.35-3.40, 7 Cd 3.38-3.72
Pr  0.8483  0.3765  0.0770  3 Hg 3.35-3.40, 7 Cd 3.38-3.72
Pr  0.9754  0.0246  0.2500  4 Hg 3.17-3.21, 2 Cd 3.26, 2 Pr 3.35
Cd  0.2042  0.2868  0.0443  3 Cd 2.85-3.13, 2 Hg 3.11-3.16
Cd  0.2117  0.4873  0.4283  4 Cd 2.85-3.11, 2 Hg 2.85-3.17
Cd  0.2868  0.2042  0.5443  3 Cd 2.85-3.13, 2 Hg 3.11-3.16
Cd  0.4873  0.2117  0.9283  4 Cd 2.85-3.11, 2 Hg 2.85-3.17
Cd  0.4944  0.5056  0.7500  8 Cd 3.03-3.28
Cd  0.5056  0.4944  0.2500  8 Cd 3.03-3.28
Cd  0.5127  0.7883  0.0717  4 Cd 2.85-3.11, 2 Hg 2.85-3.17
Cd  0.7132  0.7958  0.4557  3 Cd 2.85-3.13, 2 Hg 3.11-3.16
Cd  0.7883  0.5127  0.5717  4 Cd 2.85-3.11, 2 Hg 2.85-3.17
Cd  0.7958  0.7132  0.9557  3 Cd 2.85-3.13, 2 Hg 3.11-3.16
Hg  0.0186  0.7063  0.3753  4 Cd 2.85-3.17, 1 Pr 3.17
Hg  0.2937  0.9814  0.1247  4 Cd 2.85-3.17, 1 Pr 3.17
Hg  0.7063  0.0186  0.8753  4 Cd 2.85-3.17, 1 Pr 3.17
Hg  0.9814  0.2937  0.6247  4 Cd 2.85-3.17, 1 Pr 3.17

Calculated values
- density of states at the Fermi level (states/eV/atom) = 0.620
- energy of formation from the pure elements (eV/atom) = -0.277
- ρ (g cm⁻³) = 8.69
- crystal system = monoclinic

***

(12)
A geometry-optimized Sc6TlBi structure. Source: the Alexandria database, functional GGA-PBE.

abc: 5.7419 5.7419 5.7419
angles: 90.00 90.00 90.00
Closest atoms and distances in Å follow each position.
Fractional positions:
Sc  0.0000  0.2531  0.5000  2 Sc 2.83-2.91
Sc  0.0000  0.7469  0.5000  2 Sc 2.83-2.91
Sc  0.2531  0.5000  0.0000  2 Sc 2.83-2.91
Sc  0.5000  0.0000  0.2531  2 Sc 2.83-2.91
Sc  0.5000  0.0000  0.7469  2 Sc 2.83-2.91
Sc  0.7469  0.5000  0.0000  2 Sc 2.83-2.91
Tl  0.5000  0.5000  0.5000  12 Sc 3.20
Bi  0.0000  0.0000  0.0000  12 Sc 3.22

Calculated values
- density of states at the Fermi level (states/eV/atom) = 1.126
- energy of formation from the pure elements (eV/atom) = -0.251
- ρ (g cm⁻³) = 5.99
- crystal system = cubic